(1)
Entry from Alexandria: a relaxed Pr6AsIr2I3 crystal (PBE).

Unit cell a=7.470 b=12.931 c=8.439 alpha=90.00 beta=107.04 gamma=90.00
Space group C2/m (No. 12)
Inequivalent atoms, fractional coordinates:
Pr  0.214  0.000  0.188 [4 per cell]
Pr  0.237  0.326  0.188 [8 per cell]
As  0.000  0.500  0.000 [2 per cell]
Ir  0.000  0.167  0.000 [4 per cell]
I  0.000  0.000  0.500 [2 per cell]
I  0.000  0.337  0.500 [4 per cell]

V in Å³ per atom: 32.48
Energy in eV per atom: -5.695
Uncorrected formation energy in eV per formula unit: -12.6
ρ in g/cm³: 7.2

***

(2)
Entry from Alexandria: a relaxed Pr6AsIr2I2 crystal (PBE).

Unit cell a=7.531 b=12.837 c=8.223 alpha=90.00 beta=106.45 gamma=90.00
Space group C2/m (No. 12)
Inequivalent atoms, fractional coordinates:
Pr  0.209  0.000  0.190 [4 per cell]
Pr  0.235  0.327  0.193 [8 per cell]
As  0.000  0.500  0.000 [2 per cell]
Ir  0.000  0.169  0.000 [4 per cell]
I  0.000  0.338  0.500 [4 per cell]

V in Å³ per atom: 34.65
Energy in eV per atom: -5.795
Uncorrected formation energy in eV per formula unit: -9.6
ρ in g/cm³: 6.8

***

(3)
Entry from Alexandria: a relaxed Sb2AsIrI crystal (PBE).

Unit cell a=5.304 b=5.304 c=5.273 alpha=90.00 beta=90.00 gamma=90.00
Space group P4/mmm (No. 123)
Inequivalent atoms, fractional coordinates:
Sb  0.000  0.500  0.000 [2 per cell]
As  0.000  0.000  0.000 [1 per cell]
Ir  0.500  0.500  0.500 [1 per cell]
I  0.000  0.000  0.500 [1 per cell]

V in Å³ per atom: 29.67
Energy in eV per atom: -3.228
Uncorrected formation energy in eV per formula unit: 7.2
ρ in g/cm³: 7.1
Polymorph energy (0 for the lowest one) in kJ/mol of atoms: 73.11

***

(4)
Entry from Alexandria: a relaxed Sb2AsIrI crystal (PBE).

Unit cell a=5.131 b=5.131 c=5.479 alpha=90.00 beta=90.00 gamma=90.00
Space group P4/mmm (No. 123)
Inequivalent atoms, fractional coordinates:
Sb  0.000  0.500  0.000 [2 per cell]
As  0.000  0.000  0.500 [1 per cell]
Ir  0.500  0.500  0.000 [1 per cell]
I  0.500  0.500  0.500 [1 per cell]

V in Å³ per atom: 28.85
Energy in eV per atom: -3.986
Uncorrected formation energy in eV per formula unit: 3.4
ρ in g/cm³: 7.3
Polymorph energy (0 for the lowest one) in kJ/mol of atoms: 0.00

***

(5)
Entry from Alexandria: a relaxed SbAsIrI2 crystal (PBE).

Unit cell a=5.441 b=5.441 c=5.548 alpha=90.00 beta=90.00 gamma=90.00
Space group P4/mmm (No. 123)
Inequivalent atoms, fractional coordinates:
Sb  0.000  0.000  0.000 [1 per cell]
As  0.000  0.000  0.500 [1 per cell]
Ir  0.500  0.500  0.000 [1 per cell]
I  0.000  0.500  0.500 [2 per cell]

V in Å³ per atom: 32.85
Energy in eV per atom: -2.726
Uncorrected formation energy in eV per formula unit: 7.1
ρ in g/cm³: 6.5
Polymorph energy (0 for the lowest one) in kJ/mol of atoms: 67.34

***

(6)
Entry from Alexandria: a relaxed SbAsIrI2 crystal (PBE).

Unit cell a=5.446 b=5.446 c=5.048 alpha=90.00 beta=90.00 gamma=90.00
Space group P4/mmm (No. 123)
Inequivalent atoms, fractional coordinates:
Sb  0.000  0.000  0.000 [1 per cell]
As  0.500  0.500  0.000 [1 per cell]
Ir  0.000  0.000  0.500 [1 per cell]
I  0.000  0.500  0.500 [2 per cell]

V in Å³ per atom: 29.94
Energy in eV per atom: -3.424
Uncorrected formation energy in eV per formula unit: 3.6
ρ in g/cm³: 7.1
Polymorph energy (0 for the lowest one) in kJ/mol of atoms: 0.00